[1]
Here is crystalline Ti3TeH3 at its relaxed geometry from Alexandria via LeMat-Bulk. Energies are from PBE.

Lattice parameters (Å, degrees): 5.3715 5.3715 5.3715 90.00 90.00 90.00
With the nearest neighbours (Å) after each atom.
Fractional positions:
H: 0.2500 0.0000 0.5000  4 Ti 1.90
H: 0.0000 0.5000 0.2500  4 Ti 1.90
H: 0.5000 0.7500 0.0000  4 Ti 1.90
H: 0.7500 0.0000 0.5000  4 Ti 1.90
H: 0.0000 0.5000 0.7500  4 Ti 1.90
H: 0.5000 0.2500 0.0000  4 Ti 1.90
Te: 0.5000 0.5000 0.5000  12 H 3.00, 12 Ti 3.00
Te: 0.0000 0.0000 0.0000  12 H 3.00, 12 Ti 3.00
Ti: 0.0000 0.2500 0.5000  4 H 1.90
Ti: 0.0000 0.7500 0.5000  4 H 1.90
Ti: 0.5000 0.0000 0.7500  4 H 1.90
Ti: 0.7500 0.5000 0.0000  4 H 1.90
Ti: 0.5000 0.0000 0.2500  4 H 1.90
Ti: 0.2500 0.5000 0.0000  4 H 1.90

Calculated values
Space-group type = Pm-3n, No. 223
Raw total energy = -5.707 eV/atom
Calculated volume = 11.07 A^3/atom


[2]
Here is crystalline LiThGaNi at its relaxed geometry from Alexandria via LeMat-Bulk. Energies are from PBE.

Lattice parameters (Å, degrees): 4.6471 4.6471 4.6471 60.00 60.00 60.00
With the nearest neighbours (Å) after each atom.
Fractional positions:
Ni: 0.2500 0.2500 0.2500  4 Ga 2.85, 4 Th 2.85
Ga: 0.5000 0.5000 0.5000  4 Li 2.85, 4 Ni 2.85
Th: 0.0000 0.0000 0.0000  4 Ni 2.85, 4 Li 2.85
Li: 0.7500 0.7500 0.7500  4 Ga 2.85, 4 Th 2.85

Calculated values
Space-group type = F-43m, No. 216
ΔH_f (0 K) = -0.376 eV/atom
Raw total energy = -4.912 eV/atom
Calculated volume = 17.74 A^3/atom